A plane-wave DFT calculation with PBE-GGA was carried out for an optimized crystal structure of Ho2TeS2.

```
Ho2TeS2
1.0
7.542 0.027 0.000
4.474 6.071 0.000
-5.634 -3.786 3.287
S Ho Te
2 2 1
direct
0.297 0.297 0.000 S
0.703 0.703 0.000 S
0.833 0.333 0.500 Ho
0.167 0.667 0.500 Ho
0.000 0.000 0.000 Te
```

Calculated values
formation energy from raw total energies: -1.86 eV per atom
V: 150 Å³/f.u.
total energy: -5.971 eV/atom
symmetry: Immm (71)
energy above the lowest structure with this stoichiometry: 0 meV per atom